No. 1
# K6Au3Cl

A geometry-optimized K6Au3Cl structure (PBE, Alexandria via LeMat-Bulk).

Results
Its total magnetic moment is 0.0000 μB/atom. As for the total energy: -47.199 eV per cell. The calculation puts the formation energy from raw total energies at -0.534 eV/atom. As for the density: 3.5 g/cm3. The value obtained for the volume is 41.15 Å³ per atom.

a b c (Å): 7.9786 8.8693 11.6465
angles (deg): 90.00 87.07 90.00
Last column: nearest neighbours and their distance in Å.
Element x y z (fractional)
K 0.6791 0.1746 0.9339  1 Cl 3.12, 2 Au 3.29-3.42
K 0.6626 0.1885 0.5786  1 Cl 3.21, 3 Au 3.26-3.57
K 0.6536 0.4432 0.2538  1 Cl 3.10, 3 Au 3.30-3.43
K 0.3464 0.5568 0.7462  1 Cl 3.10, 3 Au 3.30-3.43
K 0.3374 0.8115 0.4214  1 Cl 3.21, 3 Au 3.26-3.57
K 0.3209 0.8254 0.0661  1 Cl 3.12, 2 Au 3.29-3.42
K 0.1791 0.3254 0.4339  1 Cl 3.12, 2 Au 3.29-3.42
K 0.1626 0.3115 0.0786  1 Cl 3.21, 3 Au 3.26-3.57
K 0.1536 0.0568 0.7538  1 Cl 3.10, 3 Au 3.30-3.43
K 0.8464 0.9432 0.2462  1 Cl 3.10, 3 Au 3.30-3.43
K 0.8374 0.6885 0.9214  1 Cl 3.21, 3 Au 3.26-3.57
K 0.8209 0.6746 0.5661  1 Cl 3.12, 2 Au 3.29-3.42
Au 0.5421 0.8933 0.7618  6 K 3.38-3.66
Au 0.5000 0.5000 0.0000  6 K 3.26-3.30
Au 0.4579 0.1067 0.2382  6 K 3.38-3.66
Au 0.0421 0.6067 0.2618  6 K 3.38-3.66
Au 0.0000 0.0000 0.5000  6 K 3.26-3.30
Au 0.9579 0.3933 0.7382  6 K 3.38-3.66
Cl 0.5000 0.5000 0.5000  6 K 3.10-3.21
Cl 0.0000 0.0000 0.0000  6 K 3.10-3.21

No. 2
# K3AuCl

A geometry-optimized K3AuCl structure (PBE, Alexandria via LeMat-Bulk).

Results
Its total magnetic moment is 0.0000 μB/atom. As for the total energy: -12.147 eV per cell. The calculation puts the formation energy from raw total energies at -0.746 eV/atom. As for the offset from the most stable computed form: 109.3 meV/atom. As for the density: 2.8 g/cm3. The value obtained for the volume is 42.21 Å³ per atom.

a b c (Å): 5.9540 5.9540 5.9540
angles (deg): 90.00 90.00 90.00
Last column: nearest neighbours and their distance in Å.
Element x y z (fractional)
K 0.0000 0.5000 0.0000  2 Cl 2.98
K 0.0000 0.0000 0.5000  2 Cl 2.98
K 0.5000 0.0000 0.0000  2 Cl 2.98
Au 0.5000 0.5000 0.5000  12 K 4.21
Cl 0.0000 0.0000 0.0000  6 K 2.98

No. 3
# KAuCl5

A geometry-optimized KAuCl5 structure (PBE, Alexandria via LeMat-Bulk).

Results
Its total magnetic moment is 0.0000 μB/atom. As for the total energy: -36.908 eV per cell. The calculation puts the formation energy from raw total energies at -0.692 eV/atom. As for the density: 3.2 g/cm3. The value obtained for the volume is 31.10 Å³ per atom.

a b c (Å): 7.4809 7.4809 10.2961
angles (deg): 69.95 69.95 55.02
Last column: nearest neighbours and their distance in Å.
Element x y z (fractional)
K 0.5001 0.4999 0.2500  10 Cl 3.45-3.62
K 0.4999 0.5001 0.7500  10 Cl 3.45-3.62
Au 0.0000 0.0000 0.0000  6 Cl 2.35-2.57
Au 0.0000 0.0000 0.5000  6 Cl 2.35-2.57
Cl 0.0879 0.6290 0.0706  1 Au 2.35
Cl 0.1288 0.6178 0.5630  1 Au 2.35
Cl 0.6290 0.0879 0.5706  1 Au 2.35
Cl 0.9996 0.0004 0.2500  2 Au 2.57
Cl 0.3822 0.8712 0.9370  1 Au 2.35
Cl 0.6178 0.1288 0.0630  1 Au 2.35
Cl 0.0004 0.9996 0.7500  2 Au 2.57
Cl 0.3710 0.9121 0.4294  1 Au 2.35
Cl 0.8712 0.3822 0.4370  1 Au 2.35
Cl 0.9121 0.3710 0.9294  1 Au 2.35

No. 4
# K4AuCl3

A geometry-optimized K4AuCl3 structure (PBE, Alexandria via LeMat-Bulk).

Results
Its total magnetic moment is 0.0000 μB/atom. As for the total energy: -25.317 eV per cell. The calculation puts the formation energy from raw total energies at -1.514 eV/atom. As for the density: 2.8 g/cm3. The value obtained for the volume is 34.27 Å³ per atom.

a b c (Å): 6.4961 6.4961 6.4961
angles (deg): 90.00 90.00 90.00
Last column: nearest neighbours and their distance in Å.
Element x y z (fractional)
K 0.5000 0.0000 0.0000  4 Cl 3.25, 2 Au 3.25
K 0.0000 0.5000 0.0000  4 Cl 3.25, 2 Au 3.25
K 0.0000 0.0000 0.5000  4 Cl 3.25, 2 Au 3.25
K 0.5000 0.5000 0.5000  6 Cl 3.25
Au 0.0000 0.0000 0.0000  6 K 3.25
Cl 0.0000 0.5000 0.5000  6 K 3.25
Cl 0.5000 0.0000 0.5000  6 K 3.25
Cl 0.5000 0.5000 0.0000  6 K 3.25

No. 5
# K6AuCl5

A geometry-optimized K6AuCl5 structure (PBE, Alexandria via LeMat-Bulk).

Results
Its total magnetic moment is 0.0000 μB/atom. As for the total energy: -39.087 eV per cell. The calculation puts the formation energy from raw total energies at -1.666 eV/atom. As for the density: 2.5 g/cm3. The value obtained for the volume is 33.63 Å³ per atom.

a b c (Å): 7.9052 7.9070 7.9081
angles (deg): 60.00 80.40 70.51
Last column: nearest neighbours and their distance in Å.
Element x y z (fractional)
K 0.7453 0.0850 0.3451  5 Cl 3.15-3.25, 1 Au 3.32
K 0.2547 0.5699 0.3451  5 Cl 3.15-3.25, 1 Au 3.32
K 0.2570 0.2592 0.0000  5 Cl 3.12-3.23, 1 Au 3.33
K 0.7430 0.7408 0.0000  5 Cl 3.12-3.23, 1 Au 3.33
K 0.7453 0.4301 0.6549  5 Cl 3.15-3.25, 1 Au 3.32
K 0.2547 0.9150 0.6549  5 Cl 3.15-3.25, 1 Au 3.32
Au 0.0000 0.0000 0.0000  6 K 3.32-3.33
Cl 0.5000 0.1651 0.6698  6 K 3.15-3.25
Cl 0.0000 0.3331 0.3338  6 K 3.21-3.23
Cl 0.5000 0.5000 0.0000  6 K 3.12-3.25
Cl 0.0000 0.6669 0.6662  6 K 3.21-3.23
Cl 0.5000 0.8349 0.3302  6 K 3.15-3.25

No. 6
# K2AuCl4

A geometry-optimized K2AuCl4 structure (PBE, Alexandria via LeMat-Bulk).

Results
Its total magnetic moment is 0.0000 μB/atom. As for the total energy: -41.380 eV per cell. The calculation puts the formation energy from raw total energies at -1.119 eV/atom. As for the density: 3.2 g/cm3. The value obtained for the volume is 30.87 Å³ per atom.

a b c (Å): 7.6441 6.3764 9.2004
angles (deg): 90.00 105.50 90.00
Last column: nearest neighbours and their distance in Å.
Element x y z (fractional)
K 0.7621 0.7500 0.0872  4 Cl 3.04-3.32
K 0.2379 0.2500 0.9128  4 Cl 3.04-3.32
K 0.2017 0.2500 0.4387  8 Cl 3.15-3.50
K 0.7983 0.7500 0.5613  8 Cl 3.15-3.50
Au 0.2918 0.7500 0.1423  3 Cl 2.37-2.40
Au 0.7082 0.2500 0.8577  3 Cl 2.37-2.40
Cl 0.5038 0.4839 0.2618  1 Au 2.40
Cl 0.0636 0.7500 0.9101  1 Au 2.37
Cl 0.9364 0.2500 0.0899  1 Au 2.37
Cl 0.5038 0.0161 0.2618  1 Au 2.40
Cl 0.9187 0.2500 0.6322  1 Au 2.95, 2 K 3.04-3.15
Cl 0.4962 0.9839 0.7382  1 Au 2.40
Cl 0.4962 0.5161 0.7382  1 Au 2.40
Cl 0.0813 0.7500 0.3678  1 Au 2.95, 2 K 3.04-3.15

No. 7
# K12Au3Cl5

A geometry-optimized K12Au3Cl5 structure (PBE, Alexandria via LeMat-Bulk).

Results
Its total magnetic moment is 0.0000 μB/atom. As for the total energy: -206.544 eV per cell. The calculation puts the formation energy from raw total energies at -0.970 eV/atom. As for the density: 2.3 g/cm3. The value obtained for the volume is 43.90 Å³ per atom.

a b c (Å): 16.5854 16.5854 16.5854
angles (deg): 109.47 109.47 109.47
Last column: nearest neighbours and their distance in Å.
Element x y z (fractional)
Au 0.7500 0.3750 0.1250  8 K 3.57-3.61
Au 0.8750 0.7500 0.1250  8 K 3.57-3.61
Au 0.3750 0.7500 0.6250  8 K 3.57-3.61
Au 0.2500 0.1250 0.3750  8 K 3.57-3.61
Au 0.8750 0.1250 0.2500  8 K 3.57-3.61
Au 0.3750 0.6250 0.2500  8 K 3.57-3.61
Au 0.6250 0.3750 0.7500  8 K 3.57-3.61
Au 0.1250 0.8750 0.7500  8 K 3.57-3.61
Au 0.7500 0.8750 0.6250  8 K 3.57-3.61
Au 0.6250 0.2500 0.3750  8 K 3.57-3.61
Au 0.1250 0.2500 0.8750  8 K 3.57-3.61
Au 0.2500 0.6250 0.8750  8 K 3.57-3.61
Cl 0.1250 0.3750 0.2500  4 K 3.01
Cl 0.0000 0.5000 0.0000  6 K 3.19
Cl 0.0000 0.0000 0.0000  6 K 3.19
Cl 0.3750 0.2500 0.1250  4 K 3.01
Cl 0.5000 0.0000 0.5000  6 K 3.19
Cl 0.5000 0.5000 0.0000  6 K 3.19
Cl 0.1250 0.7500 0.3750  4 K 3.01
Cl 0.7500 0.1250 0.8750  4 K 3.01
Cl 0.7500 0.6250 0.3750  4 K 3.01
Cl 0.3750 0.1250 0.7500  4 K 3.01
Cl 0.6250 0.8750 0.2500  4 K 3.01
Cl 0.5000 0.5000 0.5000  6 K 3.19
Cl 0.5000 0.0000 0.0000  6 K 3.19
Cl 0.0000 0.0000 0.5000  6 K 3.19
Cl 0.2500 0.3750 0.6250  4 K 3.01
Cl 0.2500 0.8750 0.1250  4 K 3.01
Cl 0.0000 0.5000 0.5000  6 K 3.19
Cl 0.8750 0.2500 0.6250  4 K 3.01
Cl 0.6250 0.7500 0.8750  4 K 3.01
Cl 0.8750 0.6250 0.7500  4 K 3.01
K 0.7169 0.1324 0.0442  2 Cl 3.01-3.19
K 0.3273 0.5442 0.4118  2 Cl 3.01-3.19
K 0.9558 0.3676 0.2831  2 Cl 3.01-3.19
K 0.5442 0.2169 0.1324  2 Cl 3.01-3.19
K 0.5845 0.7169 0.6727  2 Cl 3.01-3.19
K 0.9558 0.5882 0.1727  2 Cl 3.01-3.19
K 0.3273 0.7831 0.4155  2 Cl 3.01-3.19
K 0.0882 0.9155 0.1324  2 Cl 3.01-3.19
K 0.5882 0.9558 0.6727  2 Cl 3.01-3.19
K 0.7169 0.5845 0.1727  2 Cl 3.01-3.19
K 0.7831 0.4558 0.3676  2 Cl 3.01-3.19
K 0.8273 0.9118 0.0442  2 Cl 3.01-3.19
K 0.1324 0.7169 0.5442  2 Cl 3.01-3.19
K 0.3676 0.4118 0.0845  2 Cl 3.01-3.19
K 0.0845 0.9118 0.3676  2 Cl 3.01-3.19
K 0.4155 0.1324 0.5882  2 Cl 3.01-3.19
K 0.0845 0.1727 0.2169  2 Cl 3.01-3.19
K 0.4558 0.6727 0.0882  2 Cl 3.01-3.19
K 0.8273 0.9155 0.2831  2 Cl 3.01-3.19
K 0.1324 0.4155 0.0882  2 Cl 3.01-3.19
K 0.3676 0.9558 0.7831  2 Cl 3.01-3.19
K 0.5882 0.6324 0.4155  2 Cl 3.01-3.19
K 0.9118 0.8273 0.5442  2 Cl 3.01-3.19
K 0.7831 0.3273 0.9155  2 Cl 3.01-3.19
K 0.4118 0.3676 0.5845  2 Cl 3.01-3.19
K 0.0882 0.1727 0.4558  2 Cl 3.01-3.19
K 0.2169 0.6727 0.0845  2 Cl 3.01-3.19
K 0.1727 0.0845 0.7169  2 Cl 3.01-3.19
K 0.6324 0.0442 0.2169  2 Cl 3.01-3.19
K 0.8676 0.5845 0.9118  2 Cl 3.01-3.19
K 0.5442 0.3273 0.9118  2 Cl 3.01-3.19
K 0.5845 0.8676 0.4118  2 Cl 3.01-3.19
K 0.9155 0.8273 0.7831  2 Cl 3.01-3.19
K 0.9155 0.0882 0.6324  2 Cl 3.01-3.19
K 0.8676 0.2831 0.4558  2 Cl 3.01-3.19
K 0.1727 0.0882 0.9558  2 Cl 3.01-3.19
K 0.6324 0.5882 0.9155  2 Cl 3.01-3.19
K 0.4118 0.0442 0.3273  2 Cl 3.01-3.19
K 0.2831 0.4155 0.8273  2 Cl 3.01-3.19
K 0.2169 0.5442 0.6324  2 Cl 3.01-3.19
K 0.9118 0.0845 0.8676  2 Cl 3.01-3.19
K 0.6727 0.2169 0.5845  2 Cl 3.01-3.19
K 0.4558 0.7831 0.8676  2 Cl 3.01-3.19
K 0.0442 0.4118 0.8273  2 Cl 3.01-3.19
K 0.4155 0.2831 0.3273  2 Cl 3.01-3.19
K 0.0442 0.6324 0.7169  2 Cl 3.01-3.19
K 0.6727 0.4558 0.5882  2 Cl 3.01-3.19
K 0.2831 0.8676 0.9558  2 Cl 3.01-3.19

No. 8
# K5AuCl4

A geometry-optimized K5AuCl4 structure (PBE, Alexandria via LeMat-Bulk).

Results
Its total magnetic moment is 0.0000 μB/atom. As for the total energy: -32.249 eV per cell. The calculation puts the formation energy from raw total energies at -1.610 eV/atom. As for the density: 2.6 g/cm3. The value obtained for the volume is 33.85 Å³ per atom.

a b c (Å): 4.5466 7.9433 10.2481
angles (deg): 75.27 77.18 73.37
Last column: nearest neighbours and their distance in Å.
Element x y z (fractional)
K 0.2030 0.9032 0.6908  5 Cl 3.16-3.23, 1 Au 3.32
K 0.7970 0.0968 0.3092  5 Cl 3.16-3.23, 1 Au 3.32
K 0.3929 0.3217 0.8924  4 Cl 3.16-3.27, 2 Au 3.35
K 0.0000 0.5000 0.5000  6 Cl 3.21-3.22
K 0.6071 0.6783 0.1076  4 Cl 3.16-3.27, 2 Au 3.35
Au 0.0000 0.0000 0.0000  6 K 3.32-3.35
Cl 0.5983 0.2049 0.5986  6 K 3.16-3.24
Cl 0.2018 0.3922 0.2043  6 K 3.16-3.27
Cl 0.7982 0.6078 0.7957  6 K 3.16-3.27
Cl 0.4017 0.7951 0.4014  6 K 3.16-3.24